No. 1
The following is a DFT calculation (PBE) of BaSr3Lu2Bi2O12 after structural relaxation.

Structure (CIF):
```
data_BaSr3Lu2Bi2O12
_chemical_formula_sum 'Ba1 Sr3 Lu2 Bi2 O12'
_symmetry_space_group_name_H-M 'P 1'
_symmetry_Int_Tables_number 1
_symmetry_space_group_name_Hall 'P 1'
_cell_length_a 5.9654
_cell_length_b 6.0255
_cell_length_c 8.4637
_cell_angle_alpha 89.97
_cell_angle_beta 89.91
_cell_angle_gamma 89.93
loop_
_atom_site_label
_atom_site_type_symbol
_atom_site_fract_x
_atom_site_fract_y
_atom_site_fract_z
Ba1 Ba 0.0000 0.0000 0.0000
Sr1 Sr 0.0151 0.0642 0.4996
Sr2 Sr 0.5002 0.5550 0.4995
Sr3 Sr 0.5176 0.4851 0.9998
Lu1 Lu 0.0063 0.5252 0.2520
Lu2 Lu 0.5069 0.0215 0.7470
Bi1 Bi 0.0060 0.5248 0.7474
Bi2 Bi 0.5069 0.0209 0.2536
O1 O 0.0897 0.5288 0.9957
O2 O 0.2141 0.8074 0.7037
O3 O 0.2215 0.8128 0.2958
O4 O 0.2855 0.3084 0.7028
O5 O 0.2937 0.3022 0.2976
O6 O 0.4474 0.0523 0.0040
O7 O 0.5933 0.9888 0.4974
O8 O 0.7089 0.7330 0.2073
O9 O 0.7187 0.7291 0.7934
O10 O 0.7846 0.2400 0.2209
O11 O 0.7891 0.2460 0.7823
O12 O 0.9233 0.5015 0.5027
```

Summary:
The uncorrected formation energy comes out at -2.459 eV/atom. For the total magnetization, the calculation gives 0.0000 μB/atom. As for the density of states at the Fermi level: 0.0 states/eV/cell. As for the space-group type: No. 1.

=====

No. 2
The following is a DFT calculation (PBE) of Ba3SrLu2Bi2O12 after structural relaxation.

Structure (CIF):
```
data_Ba3SrLu2Bi2O12
_chemical_formula_sum 'Ba3 Sr1 Lu2 Bi2 O12'
_symmetry_space_group_name_H-M 'P 1'
_symmetry_Int_Tables_number 1
_symmetry_space_group_name_Hall 'P 1'
_cell_length_a 6.0716
_cell_length_b 6.0716
_cell_length_c 8.5849
_cell_angle_alpha 90.00
_cell_angle_beta 90.00
_cell_angle_gamma 90.00
loop_
_atom_site_label
_atom_site_type_symbol
_atom_site_fract_x
_atom_site_fract_y
_atom_site_fract_z
Ba1 Ba 0.0000 0.0000 0.0000
Ba2 Ba 0.0000 0.0000 0.5000
Ba3 Ba 0.5000 0.5000 0.0000
Sr1 Sr 0.5000 0.5000 0.5000
Lu1 Lu 0.0000 0.5000 0.2515
Lu2 Lu 0.5000 0.0000 0.7485
Bi1 Bi 0.0000 0.5000 0.7486
Bi2 Bi 0.5000 0.0000 0.2514
O1 O 0.0000 0.5000 0.5024
O2 O 0.0000 0.5000 0.9969
O3 O 0.2490 0.2546 0.7470
O4 O 0.2490 0.7454 0.7470
O5 O 0.2546 0.2490 0.2530
O6 O 0.2546 0.7510 0.2530
O7 O 0.5000 0.0000 0.0031
O8 O 0.5000 0.0000 0.4976
O9 O 0.7454 0.2490 0.2530
O10 O 0.7454 0.7510 0.2530
O11 O 0.7510 0.2546 0.7470
O12 O 0.7510 0.7454 0.7470
```

Summary:
The uncorrected formation energy comes out at -2.431 eV/atom. For the total magnetization, the calculation gives 0.0000 μB/atom. As for the density of states at the Fermi level: 0.0 states/eV/cell. As for the space-group type: No. 115.

=====

No. 3
The following is a DFT calculation (PBE) of BaSrLuBiO6 after structural relaxation.

Structure (CIF):
```
data_BaSrLuBiO6
_chemical_formula_sum 'Ba2 Sr2 Lu2 Bi2 O12'
_symmetry_space_group_name_H-M 'P 1'
_symmetry_Int_Tables_number 1
_symmetry_space_group_name_Hall 'P 1'
_cell_length_a 6.0189
_cell_length_b 6.0483
_cell_length_c 10.4124
_cell_angle_alpha 90.00
_cell_angle_beta 125.23
_cell_angle_gamma 90.00
loop_
_atom_site_label
_atom_site_type_symbol
_atom_site_fract_x
_atom_site_fract_y
_atom_site_fract_z
Ba1 Ba 0.0000 0.2366 0.0000
Ba2 Ba 0.0000 0.7634 0.5000
Sr1 Sr 0.4861 0.2869 0.5000
Sr2 Sr 0.4861 0.7131 0.0000
Lu1 Lu 0.7468 0.2467 0.2503
Lu2 Lu 0.7468 0.7533 0.7503
Bi1 Bi 0.2459 0.2472 0.7489
Bi2 Bi 0.2459 0.7528 0.2489
O1 O 0.0138 0.4794 0.7819
O2 O 0.0138 0.5206 0.2819
O3 O 0.0790 0.0331 0.2913
O4 O 0.0790 0.9669 0.7913
O5 O 0.4415 0.4844 0.2156
O6 O 0.4415 0.5156 0.7156
O7 O 0.4860 0.0375 0.7073
O8 O 0.4860 0.9625 0.2073
O9 O 0.5499 0.2730 0.9967
O10 O 0.5499 0.7270 0.4967
O11 O 0.9173 0.2398 0.5032
O12 O 0.9173 0.7602 0.0032
```

Summary:
The uncorrected formation energy comes out at -2.450 eV/atom. For the total magnetization, the calculation gives 0.0000 μB/atom. As for the density of states at the Fermi level: 0.0 states/eV/cell. As for the space-group type: No. 7.

=====

No. 4
The following is a DFT calculation (PBE) of Ba4Sr2Lu3Bi3O18 after structural relaxation.

Structure (CIF):
```
data_Ba4Sr2Lu3Bi3O18
_chemical_formula_sum 'Ba4 Sr2 Lu3 Bi3 O18'
_symmetry_space_group_name_H-M 'P 1'
_symmetry_Int_Tables_number 1
_symmetry_space_group_name_Hall 'P 1'
_cell_length_a 6.0511
_cell_length_b 6.0511
_cell_length_c 14.8155
_cell_angle_alpha 90.40
_cell_angle_beta 90.40
_cell_angle_gamma 59.98
loop_
_atom_site_label
_atom_site_type_symbol
_atom_site_fract_x
_atom_site_fract_y
_atom_site_fract_z
Ba1 Ba 0.0000 0.0000 0.0000
Ba2 Ba 0.0009 0.0009 0.5016
Ba3 Ba 0.3347 0.3347 0.6679
Ba4 Ba 0.6682 0.6682 0.3320
Sr1 Sr 0.3254 0.3254 0.1744
Sr2 Sr 0.6598 0.6598 0.8367
Lu1 Lu 0.9997 0.9997 0.2479
Lu2 Lu 0.3320 0.3320 0.9190
Lu3 Lu 0.6666 0.6666 0.5862
Bi1 Bi 0.0004 0.0004 0.7532
Bi2 Bi 0.3337 0.3337 0.4166
Bi3 Bi 0.6643 0.6643 0.0827
O1 O 0.0202 0.5198 0.5083
O2 O 0.1507 0.1507 0.3521
O3 O 0.1549 0.6382 0.3208
O4 O 0.1852 0.1852 0.8139
O5 O 0.2033 0.6901 0.8447
O6 O 0.3071 0.8154 0.6587
O7 O 0.3576 0.8707 0.1748
O8 O 0.4709 0.4709 0.0324
O9 O 0.4834 0.9602 0.9843
O10 O 0.5155 0.5155 0.4822
O11 O 0.5198 0.0202 0.5083
O12 O 0.6382 0.1549 0.3208
O13 O 0.6901 0.2033 0.8447
O14 O 0.8113 0.8113 0.6956
O15 O 0.8154 0.3071 0.6587
O16 O 0.8492 0.8492 0.1462
O17 O 0.8707 0.3576 0.1748
O18 O 0.9602 0.4834 0.9843
```

Summary:
The uncorrected formation energy comes out at -2.446 eV/atom. For the total magnetization, the calculation gives 0.0000 μB/atom. As for the density of states at the Fermi level: 0.0 states/eV/cell. As for the space-group type: No. 8.

=====

No. 5
The following is a DFT calculation (PBE) of BaMg2Bi2 after structural relaxation.

Structure (CIF):
```
data_BaMg2Bi2
_chemical_formula_sum 'Ba1 Mg2 Bi2'
_symmetry_space_group_name_H-M 'P 1'
_symmetry_Int_Tables_number 1
_symmetry_space_group_name_Hall 'P 1'
_cell_length_a 4.9336
_cell_length_b 4.9336
_cell_length_c 8.3466
_cell_angle_alpha 90.00
_cell_angle_beta 90.00
_cell_angle_gamma 120.00
loop_
_atom_site_label
_atom_site_type_symbol
_atom_site_fract_x
_atom_site_fract_y
_atom_site_fract_z
Ba1 Ba 0.0000 0.0000 0.0000
Mg1 Mg 0.3333 0.6667 0.6229
Mg2 Mg 0.6667 0.3333 0.3771
Bi1 Bi 0.3333 0.6667 0.2641
Bi2 Bi 0.6667 0.3333 0.7359
```

Summary:
The formation energy from the elements is -0.61 eV per atom. For the total magnetization, the calculation gives 0.0000 μB/atom. As for the density of states at the Fermi level: 0.0 states/eV/cell. As for the space-group type: No. 164.

=====

No. 6
The following is a DFT calculation (PBE) of Ba2Mg3Bi4 after structural relaxation.

Structure (CIF):
```
data_Ba2Mg3Bi4
_chemical_formula_sum 'Ba4 Mg6 Bi8'
_symmetry_space_group_name_H-M 'P 1'
_symmetry_Int_Tables_number 1
_symmetry_space_group_name_Hall 'P 1'
_cell_length_a 9.5965
_cell_length_b 9.5965
_cell_length_c 9.2602
_cell_angle_alpha 90.00
_cell_angle_beta 90.00
_cell_angle_gamma 137.02
loop_
_atom_site_label
_atom_site_type_symbol
_atom_site_fract_x
_atom_site_fract_y
_atom_site_fract_z
Ba1 Ba 0.1148 0.8852 0.9176
Ba2 Ba 0.3852 0.6148 0.4176
Ba3 Ba 0.6148 0.3852 0.5824
Ba4 Ba 0.8852 0.1148 0.0824
Mg1 Mg 0.0000 0.0000 0.5000
Mg2 Mg 0.0332 0.4668 0.7500
Mg3 Mg 0.4668 0.0332 0.2500
Mg4 Mg 0.5000 0.5000 0.0000
Mg5 Mg 0.5332 0.9668 0.7500
Mg6 Mg 0.9668 0.5332 0.2500
Bi1 Bi 0.1886 0.8114 0.5529
Bi2 Bi 0.1995 0.3005 0.7500
Bi3 Bi 0.3005 0.1995 0.2500
Bi4 Bi 0.3114 0.6886 0.0529
Bi5 Bi 0.6886 0.3114 0.9471
Bi6 Bi 0.6995 0.8005 0.7500
Bi7 Bi 0.8005 0.6995 0.2500
Bi8 Bi 0.8114 0.1886 0.4471
```

Summary:
The formation energy from the elements is -0.59 eV per atom. For the total magnetization, the calculation gives 0.0000 μB/atom. As for the density of states at the Fermi level: 7.9 states/eV/cell. As for the space-group type: No. 64.

=====

No. 7
The following is a DFT calculation (PBE) of BaMg3Bi2 after structural relaxation.

Structure (CIF):
```
data_BaMg3Bi2
_chemical_formula_sum 'Ba2 Mg6 Bi4'
_symmetry_space_group_name_H-M 'P 1'
_symmetry_Int_Tables_number 1
_symmetry_space_group_name_Hall 'P 1'
_cell_length_a 4.5578
_cell_length_b 9.6314
_cell_length_c 9.6373
_cell_angle_alpha 72.43
_cell_angle_beta 77.98
_cell_angle_gamma 78.03
loop_
_atom_site_label
_atom_site_type_symbol
_atom_site_fract_x
_atom_site_fract_y
_atom_site_fract_z
Ba1 Ba 0.1496 0.3646 0.3649
Ba2 Ba 0.8504 0.6354 0.6351
Mg1 Mg 0.0012 0.8498 0.1497
Mg2 Mg 0.3674 0.3684 0.9792
Mg3 Mg 0.3673 0.9790 0.3685
Mg4 Mg 0.6327 0.0210 0.6315
Mg5 Mg 0.6326 0.6316 0.0208
Mg6 Mg 0.9988 0.1502 0.8503
Bi1 Bi 0.1212 0.8304 0.8302
Bi2 Bi 0.4994 0.3198 0.6804
Bi3 Bi 0.5006 0.6802 0.3196
Bi4 Bi 0.8788 0.1696 0.1698
```

Summary:
The formation energy from the elements is -0.36 eV per atom. For the total magnetization, the calculation gives 0.0000 μB/atom. As for the density of states at the Fermi level: 2.4 states/eV/cell. As for the space-group type: No. 2.

=====

No. 8
The following is a DFT calculation (PBE) of BaMg6Bi after structural relaxation.

Structure (CIF):
```
data_BaMg6Bi
_chemical_formula_sum 'Ba1 Mg6 Bi1'
_symmetry_space_group_name_H-M 'P 1'
_symmetry_Int_Tables_number 1
_symmetry_space_group_name_Hall 'P 1'
_cell_length_a 5.0067
_cell_length_b 8.5637
_cell_length_c 8.5637
_cell_angle_alpha 42.22
_cell_angle_beta 90.00
_cell_angle_gamma 90.00
loop_
_atom_site_label
_atom_site_type_symbol
_atom_site_fract_x
_atom_site_fract_y
_atom_site_fract_z
Ba1 Ba 0.0000 0.0000 0.0000
Mg1 Mg 0.0000 0.4765 0.9690
Mg2 Mg 0.0000 0.9690 0.4765
Mg3 Mg 0.5000 0.0802 0.6032
Mg4 Mg 0.5000 0.1673 0.1673
Mg5 Mg 0.5000 0.6032 0.0802
Mg6 Mg 0.5000 0.6362 0.6362
Bi1 Bi 0.0000 0.3980 0.3980
```

Summary:
The formation energy from the elements is -0.04 eV per atom. For the total magnetization, the calculation gives 0.0000 μB/atom. As for the density of states at the Fermi level: 5.0 states/eV/cell. As for the space-group type: No. 38.

=====

No. 9
The following is a DFT calculation (PBE) of Ba2MgBi after structural relaxation.

Structure (CIF):
```
data_Ba2MgBi
_chemical_formula_sum 'Ba4 Mg2 Bi2'
_symmetry_space_group_name_H-M 'P 1'
_symmetry_Int_Tables_number 1
_symmetry_space_group_name_Hall 'P 1'
_cell_length_a 7.9277
_cell_length_b 7.9277
_cell_length_c 7.9277
_cell_angle_alpha 105.62
_cell_angle_beta 105.62
_cell_angle_gamma 117.48
loop_
_atom_site_label
_atom_site_type_symbol
_atom_site_fract_x
_atom_site_fract_y
_atom_site_fract_z
Ba1 Ba 0.1047 0.1250 0.4797
Ba2 Ba 0.3750 0.8953 0.0203
Ba3 Ba 0.6453 0.6250 0.5203
Ba4 Ba 0.8750 0.3547 0.9797
Mg1 Mg 0.2500 0.7500 0.5000
Mg2 Mg 0.5000 0.5000 0.0000
Bi1 Bi 0.0000 0.0000 0.0000
Bi2 Bi 0.7500 0.2500 0.5000
```

Summary:
The formation energy from the elements is -0.23 eV per atom. For the total magnetization, the calculation gives 0.2499 μB/atom. As for the density of states at the Fermi level: 3.0 states/eV/cell. As for the space-group type: No. 122.

=====

No. 10
The following is a DFT calculation (PBE) of Ba2MgBi after structural relaxation.

Structure (CIF):
```
data_Ba2MgBi
_chemical_formula_sum 'Ba2 Mg1 Bi1'
_symmetry_space_group_name_H-M 'P 1'
_symmetry_Int_Tables_number 1
_symmetry_space_group_name_Hall 'P 1'
_cell_length_a 5.8095
_cell_length_b 5.8095
_cell_length_c 4.7833
_cell_angle_alpha 90.00
_cell_angle_beta 90.00
_cell_angle_gamma 90.00
loop_
_atom_site_label
_atom_site_type_symbol
_atom_site_fract_x
_atom_site_fract_y
_atom_site_fract_z
Ba1 Ba 0.0000 0.5000 0.0000
Ba2 Ba 0.5000 0.0000 0.0000
Mg1 Mg 0.0000 0.0000 0.5000
Bi1 Bi 0.5000 0.5000 0.5000
```

Summary:
The formation energy from the elements is -0.50 eV per atom. For the total magnetization, the calculation gives 0.0000 μB/atom. As for the density of states at the Fermi level: 1.8 states/eV/cell. As for the space-group type: No. 123.

=====

No. 11
The following is a DFT calculation (PBE) of BaMg2Bi after structural relaxation.

Structure (CIF):
```
data_BaMg2Bi
_chemical_formula_sum 'Ba2 Mg4 Bi2'
_symmetry_space_group_name_H-M 'P 1'
_symmetry_Int_Tables_number 1
_symmetry_space_group_name_Hall 'P 1'
_cell_length_a 11.9857
_cell_length_b 11.9857
_cell_length_c 11.9857
_cell_angle_alpha 155.62
_cell_angle_beta 155.62
_cell_angle_gamma 34.75
loop_
_atom_site_label
_atom_site_type_symbol
_atom_site_fract_x
_atom_site_fract_y
_atom_site_fract_z
Ba1 Ba 0.0000 0.0000 0.0000
Ba2 Ba 0.7500 0.2500 0.5000
Mg1 Mg 0.2060 0.6250 0.0810
Mg2 Mg 0.3750 0.4560 0.5810
Mg3 Mg 0.5440 0.1250 0.9190
Mg4 Mg 0.8750 0.7940 0.4190
Bi1 Bi 0.2500 0.7500 0.5000
Bi2 Bi 0.5000 0.5000 0.0000
```

Summary:
The formation energy from the elements is -0.14 eV per atom. For the total magnetization, the calculation gives 0.0000 μB/atom. As for the density of states at the Fermi level: 3.6 states/eV/cell. As for the space-group type: No. 122.

=====

No. 12
The following is a DFT calculation (PBE) of BaMgBi2 after structural relaxation.

Structure (CIF):
```
data_BaMgBi2
_chemical_formula_sum 'Ba2 Mg2 Bi4'
_symmetry_space_group_name_H-M 'P 1'
_symmetry_Int_Tables_number 1
_symmetry_space_group_name_Hall 'P 1'
_cell_length_a 4.7319
_cell_length_b 4.7319
_cell_length_c 12.6418
_cell_angle_alpha 90.00
_cell_angle_beta 90.00
_cell_angle_gamma 90.00
loop_
_atom_site_label
_atom_site_type_symbol
_atom_site_fract_x
_atom_site_fract_y
_atom_site_fract_z
Ba1 Ba 0.2500 0.2500 0.2264
Ba2 Ba 0.7500 0.7500 0.7736
Mg1 Mg 0.2500 0.7500 0.5000
Mg2 Mg 0.7500 0.2500 0.5000
Bi1 Bi 0.2500 0.2500 0.6466
Bi2 Bi 0.2500 0.7500 0.0000
Bi3 Bi 0.7500 0.2500 0.0000
Bi4 Bi 0.7500 0.7500 0.3534
```

Summary:
The formation energy from the elements is -0.63 eV per atom. For the total magnetization, the calculation gives 0.0000 μB/atom. As for the density of states at the Fermi level: 3.4 states/eV/cell. As for the space-group type: No. 129.